[1]
DFT (PBE) results for crystalline IrRu2W at its relaxed geometry.

Lattice parameters (Å, degrees): 3.8912 3.8912 7.7002 90.00 90.00 90.00
Closest atoms and distances in Å follow each position.
Space group I4/mmm (No. 139)
Unique sites:
Ir: 0.0000 0.0000 0.0000 (multiplicity 2)  8 Ru 2.74, 4 W 2.75
Ru: 0.0000 0.5000 0.2500 (multiplicity 4)  4 W 2.74, 4 Ir 2.74, 4 Ru 2.75
W: 0.0000 0.0000 0.5000 (multiplicity 2)  8 Ru 2.74, 4 Ir 2.75

Summary:
ρ = 16.470 g/cm³
Calculated formation energy = -0.10 eV/atom
Total energy = -10.187 eV per atom
E above lowest polymorph = 83 meV/atom

[2]
DFT (PBE) results for crystalline CuReW2 at its relaxed geometry.

Lattice parameters (Å, degrees): 3.1775 4.3555 8.7399 90.00 90.00 90.00
Closest atoms and distances in Å follow each position.
Space group Imm2 (No. 44)
Unique sites:
Cu: 0.0000 0.0000 0.0000 (multiplicity 2)  6 W 2.70-2.75, 2 Re 2.75
Re: 0.0000 0.5000 0.7574 (multiplicity 2)  6 W 2.64-2.70, 2 Cu 2.75
W: 0.0000 0.0000 0.4984 (multiplicity 2)  2 Re 2.64, 2 W 2.66, 4 Cu 2.70
W: 0.0000 0.5000 0.2429 (multiplicity 2)  2 W 2.66, 4 Re 2.70, 2 Cu 2.75

Summary:
ρ = 16.953 g/cm³
Calculated formation energy = 0.29 eV/atom
Total energy = -10.323 eV per atom
E above lowest polymorph = 66 meV/atom

[3]
DFT (PBE) results for crystalline NdYHg at its relaxed geometry.

Lattice parameters (Å, degrees): 3.6950 3.6950 12.9678 90.00 90.00 90.00
Closest atoms and distances in Å follow each position.
Space group I4mm (No. 107)
Unique sites:
Nd: 0.0000 0.0000 0.0000 (multiplicity 2)  4 Hg 3.37, 4 Y 3.63, 4 Nd 3.70
Y: 0.0000 0.0000 0.3053 (multiplicity 2)  4 Hg 3.19
Hg: 0.0000 0.0000 0.6636 (multiplicity 2)  4 Y 3.19, 4 Nd 3.37

Summary:
ρ = 8.136 g/cm³
Calculated formation energy = -0.31 eV/atom
Total energy = -4.156 eV per atom
E above lowest polymorph = 41 meV/atom

[4]
DFT (PBE) results for crystalline Hf2CdTcAu at its relaxed geometry.

Lattice parameters (Å, degrees): 4.8801 4.8801 5.1672 90.00 90.00 90.00
Closest atoms and distances in Å follow each position.
Space group P4/mmm (No. 123)
Unique sites:
Hf: 0.0000 0.5000 0.0000 (multiplicity 2)  2 Tc 2.44
Cd: 0.0000 0.0000 0.5000 (multiplicity 1)  2 Tc 2.58
Tc: 0.0000 0.0000 0.0000 (multiplicity 1)  4 Hf 2.44, 2 Cd 2.58
Au: 0.5000 0.5000 0.5000 (multiplicity 1)  4 Cd 3.45, 8 Hf 3.55

Summary:
ρ = 10.314 g/cm³
Calculated formation energy = 0.52 eV/atom
Total energy = -6.372 eV per atom

[5]
DFT (PBE) results for crystalline MgBi3Cl at its relaxed geometry.

Lattice parameters (Å, degrees): 5.5221 5.5221 5.5221 90.00 90.00 90.00
Closest atoms and distances in Å follow each position.
Space group Pm-3m (No. 221)
Unique sites:
Mg: 0.0000 0.0000 0.0000 (multiplicity 1)  6 Bi 2.76
Bi: 0.0000 0.0000 0.5000 (multiplicity 3)  2 Mg 2.76
Cl: 0.5000 0.5000 0.5000 (multiplicity 1)  12 Bi 3.90

Summary:
ρ = 6.772 g/cm³
Energy relative to the elements, uncorrected = 0.344 eV/atom
Total energy = -2.672 eV per atom
E above lowest polymorph = 0 meV/atom

[6]
DFT (PBE) results for crystalline Cs2P2S5 at its relaxed geometry.

Lattice parameters (Å, degrees): 12.9609 4.9934 8.6220 90.00 104.34 90.00
Closest atoms and distances in Å follow each position.
Space group C2/m (No. 12)
Unique sites:
Cs: 0.0872 0.0000 0.3229 (multiplicity 4)  9 S 3.48-3.82
P: 0.1562 0.5000 0.9095 (multiplicity 4)  2 S 2.02-2.14
S: 0.0000 0.5000 0.0000 (multiplicity 2)  2 P 2.34
S: 0.1267 0.5000 0.6681 (multiplicity 4)  1 P 2.02
S: 0.1772 0.0000 0.9748 (multiplicity 4)  1 P 2.14

Summary:
ρ = 2.998 g/cm³
Energy relative to the elements, uncorrected = -0.536 eV/atom
Total energy = -4.221 eV per atom

[7]
DFT (PBE) results for crystalline Sm3Dy3Er at its relaxed geometry.

Lattice parameters (Å, degrees): 6.2048 6.2048 42.8238 90.00 90.00 120.00
Closest atoms and distances in Å follow each position.
Space group R-3 (No. 148, hexagonal axes)
Unique sites:
Sm: 0.0000 0.3311 0.1316 (multiplicity 18)  3 Dy 3.52-3.53, 9 Sm 3.56-3.65
Dy: 0.0003 0.3332 0.2684 (multiplicity 18)  2 Er 3.46, 3 Sm 3.52-3.53, 6 Dy 3.58-3.59
Er: 0.0000 0.0000 0.3333 (multiplicity 6)  6 Dy 3.46, 3 Er 3.58

Summary:
ρ = 7.716 g/cm³
Calculated formation energy = 0.16 eV/atom
Total energy = -4.490 eV per atom
E above lowest polymorph = 140 meV/atom

[8]
DFT (PBE) results for crystalline PuMgPdRh at its relaxed geometry.

Lattice parameters (Å, degrees): 6.6921 6.6921 6.6921 90.00 90.00 90.00
Closest atoms and distances in Å follow each position.
Space group F-43m (No. 216)
Unique sites:
Pu: 0.0000 0.0000 0.0000 (multiplicity 4)  4 Pd 2.90, 4 Rh 2.90
Mg: 0.0000 0.0000 0.5000 (multiplicity 4)  4 Rh 2.90, 4 Pd 2.90
Pd: 0.2500 0.2500 0.2500 (multiplicity 4)  4 Mg 2.90, 4 Pu 2.90
Rh: 0.2500 0.2500 0.7500 (multiplicity 4)  4 Mg 2.90, 4 Pu 2.90

Summary:
ρ = 10.585 g/cm³
Calculated formation energy = -0.46 eV/atom
Total energy = -7.578 eV per atom